Entry 1:
VASP calculation (PBE-GGA) on Y2ScSi after structural relaxation.

Values from the calculation:
* uncorrected formation energy: -0.27 eV/atom
* VASP energy: -25.75 eV for the cell shown

Cell: 3.9333 3.9333 6.2896 Å, 90.00 90.00 90.00°
Closest atoms and distances in Å follow each position.
Atoms (fractional coordinates):
Y 0.0000 0.0000 0.2293  1 Y 2.88, 4 Si 3.13
Y 0.0000 0.0000 0.7707  1 Y 2.88, 4 Si 3.13
Sc 0.5000 0.5000 0.5000  2 Si 3.14, 8 Y 3.26
Si 0.5000 0.5000 0.0000  8 Y 3.13, 2 Sc 3.14

Entry 2:
VASP calculation (PBE-GGA) on YScSi2 after structural relaxation.

Values from the calculation:
* uncorrected formation energy: -0.43 eV/atom
* VASP energy: -25.35 eV for the cell shown

Cell: 7.7392 7.7392 7.7392 Å, 27.67 27.67 27.67°
Closest atoms and distances in Å follow each position.
Atoms (fractional coordinates):
Y 0.0000 0.0000 0.0000  6 Si 2.90
Sc 0.5000 0.5000 0.5000  6 Si 2.77
Si 0.2453 0.2453 0.2453  3 Sc 2.77, 3 Y 2.90
Si 0.7547 0.7547 0.7547  3 Sc 2.77, 3 Y 2.90

Entry 3:
VASP calculation (PBE-GGA) on YScSi2 after structural relaxation.

Values from the calculation:
* uncorrected formation energy: -0.60 eV/atom
* VASP energy: -26.06 eV for the cell shown

Cell: 5.8020 5.8020 5.8020 Å, 142.82 136.98 58.14°
Closest atoms and distances in Å follow each position.
Atoms (fractional coordinates):
Y 0.0000 0.0000 0.0000  6 Si 2.88-3.18, 2 Sc 3.22
Sc 0.7396 0.2396 0.5000  6 Si 2.83-2.95
Si 0.2673 0.7673 0.5000  2 Si 2.56, 4 Sc 2.83
Si 0.4418 0.4418 0.0000  2 Si 2.56